[1]
A relaxed CsRb2TlH crystal. Source: the Alexandria database, functional PBE-GGA. Values from VASP.

Geometry as Quantum ESPRESSO input:
```
&SYSTEM
  ibrav = 0, nat = 5, ntyp = 4
/
ATOMIC_SPECIES
Cs 132.91 Cs.upf
Rb 85.47 Rb.upf
Tl 204.38 Tl.upf
H 1.01 H.upf
CELL_PARAMETERS angstrom
5.937 0.000 0.000
0.000 5.937 0.000
0.000 0.000 6.254
ATOMIC_POSITIONS crystal
Cs 0.000 0.000 0.000
Rb 0.000 0.500 0.500
Rb 0.500 0.000 0.500
Tl 0.500 0.500 0.000
H 0.000 0.000 0.500
```

## Properties
Crystal system: tetragonal
Spin magnetization (μB per formula unit): 0.00
E (eV/atom): -1.709

[2]
A relaxed SiS2N2 crystal. Source: the Alexandria database, functional PBE-GGA. Values from VASP.

Geometry as Quantum ESPRESSO input:
```
&SYSTEM
  ibrav = 0, nat = 5, ntyp = 3
/
ATOMIC_SPECIES
Si 28.09 Si.upf
S 32.06 S.upf
N 14.01 N.upf
CELL_PARAMETERS angstrom
3.911 0.000 0.000
0.000 3.911 0.000
0.000 0.000 3.914
ATOMIC_POSITIONS crystal
Si 0.000 0.000 0.000
S 0.000 0.500 0.500
S 0.500 0.000 0.500
N 0.500 0.500 0.000
N 0.500 0.500 0.500
```

## Properties
Crystal system: tetragonal
Energy relative to the elements, uncorrected (meV/atom): 1755.9
Spin magnetization (μB per formula unit): 0.24
E (eV/atom): -4.310

[3]
A relaxed Co5Mo crystal. Source: the Alexandria database, functional PBE-GGA. Values from VASP.

Geometry as Quantum ESPRESSO input:
```
&SYSTEM
  ibrav = 0, nat = 6, ntyp = 2
/
ATOMIC_SPECIES
Co 58.93 Co.upf
Mo 95.94 Mo.upf
CELL_PARAMETERS angstrom
1.788 -5.380 0.000
1.788 5.380 0.000
0.000 0.000 3.564
ATOMIC_POSITIONS crystal
Co 0.000 0.000 0.000
Co 0.170 0.830 0.500
Co 0.329 0.671 0.000
Co 0.671 0.329 0.000
Co 0.830 0.170 0.500
Mo 0.500 0.500 0.500
```

## Properties
E_form (eV per atom): 0.05
Crystal system: orthorhombic
Spin magnetization (μB per formula unit): 4.86
E (eV/atom): -7.672

[4]
A relaxed InHg2Pd crystal. Source: the Alexandria database, functional PBE-GGA. Values from VASP.

Geometry as Quantum ESPRESSO input:
```
&SYSTEM
  ibrav = 0, nat = 8, ntyp = 3
/
ATOMIC_SPECIES
In 114.82 In.upf
Hg 200.59 Hg.upf
Pd 106.42 Pd.upf
CELL_PARAMETERS angstrom
-4.283 4.283 2.707
4.283 -4.283 2.707
4.283 4.283 -2.707
ATOMIC_POSITIONS crystal
In 0.000 0.000 0.000
In 0.750 0.250 0.500
Hg 0.188 0.625 0.063
Hg 0.375 0.438 0.563
Hg 0.562 0.125 0.937
Hg 0.875 0.812 0.437
Pd 0.250 0.750 0.500
Pd 0.500 0.500 0.000
```

## Properties
E_form (eV per atom): -0.01
Crystal system: tetragonal
Spin magnetization (μB per formula unit): 0.00
E (eV/atom): -2.144

[5]
A relaxed NdDy2F11 crystal. Source: the Alexandria database, functional PBE-GGA. Values from VASP.

Geometry as Quantum ESPRESSO input:
```
&SYSTEM
  ibrav = 0, nat = 28, ntyp = 3
/
ATOMIC_SPECIES
Nd 144.24 Nd.upf
Dy 162.50 Dy.upf
F 19.00 F.upf
CELL_PARAMETERS angstrom
-4.211 5.161 5.756
4.211 -5.161 5.756
4.211 5.161 -5.756
ATOMIC_POSITIONS crystal
Nd 0.250 0.250 0.000
Nd 0.750 0.750 0.000
Dy 0.189 0.657 0.846
Dy 0.311 0.157 0.469
Dy 0.689 0.843 0.531
Dy 0.811 0.343 0.154
F 0.000 0.500 0.500
F 0.034 0.965 0.279
F 0.053 0.342 0.133
F 0.186 0.465 0.931
F 0.196 0.390 0.586
F 0.209 0.920 0.867
F 0.291 0.158 0.711
F 0.304 0.890 0.195
F 0.314 0.245 0.279
F 0.447 0.580 0.289
F 0.466 0.745 0.931
F 0.500 0.000 0.500
F 0.534 0.255 0.069
F 0.553 0.420 0.711
F 0.686 0.755 0.721
F 0.696 0.110 0.805
F 0.709 0.842 0.289
F 0.791 0.080 0.133
F 0.804 0.610 0.414
F 0.814 0.535 0.069
F 0.947 0.658 0.867
F 0.966 0.035 0.721
```

## Properties
Crystal system: orthorhombic
Energy relative to the elements, uncorrected (meV/atom): -3442.9
Spin magnetization (μB per formula unit): 2.11
E (eV/atom): -5.911

[6]
A relaxed TbNd4P5 crystal. Source: the Alexandria database, functional PBE-GGA. Values from VASP.

Geometry as Quantum ESPRESSO input:
```
&SYSTEM
  ibrav = 0, nat = 10, ntyp = 3
/
ATOMIC_SPECIES
Tb 158.93 Tb.upf
Nd 144.24 Nd.upf
P 30.97 P.upf
CELL_PARAMETERS angstrom
-4.630 4.630 2.929
4.630 -4.630 2.929
4.630 4.630 -2.929
ATOMIC_POSITIONS crystal
Tb 0.000 0.000 0.000
Nd 0.200 0.599 0.799
Nd 0.401 0.200 0.601
Nd 0.599 0.800 0.399
Nd 0.800 0.401 0.201
P 0.099 0.296 0.394
P 0.296 0.901 0.197
P 0.500 0.500 0.000
P 0.704 0.099 0.803
P 0.901 0.704 0.606
```

## Properties
E_form (eV per atom): -1.55
Crystal system: tetragonal
Spin magnetization (μB per formula unit): 0.00
E (eV/atom): -6.623

[7]
A relaxed HgPb2S2 crystal. Source: the Alexandria database, functional PBE-GGA. Values from VASP.

Geometry as Quantum ESPRESSO input:
```
&SYSTEM
  ibrav = 0, nat = 10, ntyp = 3
/
ATOMIC_SPECIES
Hg 200.59 Hg.upf
Pb 207.20 Pb.upf
S 32.06 S.upf
CELL_PARAMETERS angstrom
8.345 0.000 0.000
0.000 8.345 0.000
0.000 0.000 3.779
ATOMIC_POSITIONS crystal
Hg 0.000 0.000 0.000
Hg 0.500 0.500 0.000
Pb 0.145 0.355 0.000
Pb 0.355 0.855 0.000
Pb 0.645 0.145 0.000
Pb 0.855 0.645 0.000
S 0.149 0.649 0.500
S 0.351 0.149 0.500
S 0.649 0.851 0.500
S 0.851 0.351 0.500
```

## Properties
Crystal system: tetragonal
Energy relative to the elements, uncorrected (meV/atom): -234.5
Spin magnetization (μB per formula unit): 0.00
E (eV/atom): -3.429

[8]
A relaxed Rb2Te5As2 crystal. Source: the Alexandria database, functional PBE-GGA. Values from VASP.

Geometry as Quantum ESPRESSO input:
```
&SYSTEM
  ibrav = 0, nat = 9, ntyp = 3
/
ATOMIC_SPECIES
Rb 85.47 Rb.upf
Te 127.60 Te.upf
As 74.92 As.upf
CELL_PARAMETERS angstrom
7.770 -2.654 0.000
7.770 2.654 0.000
-3.219 0.000 9.364
ATOMIC_POSITIONS crystal
Rb 0.073 0.073 0.338
Rb 0.927 0.927 0.662
Te 0.146 0.146 0.006
Te 0.405 0.405 0.371
Te 0.500 0.500 0.000
Te 0.595 0.595 0.629
Te 0.854 0.854 0.994
As 0.337 0.337 0.091
As 0.663 0.663 0.909
```

## Properties
Crystal system: monoclinic
Energy relative to the elements, uncorrected (meV/atom): -318.5
Spin magnetization (μB per formula unit): 0.00
E (eV/atom): -3.312

[9]
A relaxed CsYRuO6 crystal. Source: the Alexandria database, functional PBE-GGA. Values from VASP.

Geometry as Quantum ESPRESSO input:
```
&SYSTEM
  ibrav = 0, nat = 9, ntyp = 4
/
ATOMIC_SPECIES
Cs 132.91 Cs.upf
Y 88.91 Y.upf
Ru 101.07 Ru.upf
O 16.00 O.upf
CELL_PARAMETERS angstrom
5.687 0.000 0.000
-2.844 4.925 0.000
0.000 0.000 6.483
ATOMIC_POSITIONS crystal
Cs 0.000 0.000 0.000
Y 0.333 0.667 0.500
Ru 0.667 0.333 0.500
O 0.421 0.047 0.672
O 0.421 0.374 0.328
O 0.626 0.047 0.328
O 0.626 0.579 0.672
O 0.953 0.374 0.672
O 0.953 0.579 0.328
```

## Properties
Crystal system: trigonal
Energy relative to the elements, uncorrected (meV/atom): -1513.0
Spin magnetization (μB per formula unit): 0.00
E (eV/atom): -6.662

[10]
A relaxed La3Pm2Sm6Tl crystal. Source: the Alexandria database, functional PBE-GGA. Values from VASP.

Geometry as Quantum ESPRESSO input:
```
&SYSTEM
  ibrav = 0, nat = 12, ntyp = 4
/
ATOMIC_SPECIES
La 138.91 La.upf
Pm 145.00 Pm.upf
Sm 150.36 Sm.upf
Tl 204.38 Tl.upf
CELL_PARAMETERS angstrom
3.125 -5.427 0.000
3.125 5.427 0.000
-2.121 0.000 11.812
ATOMIC_POSITIONS crystal
La 0.000 0.000 0.000
La 0.330 0.670 0.000
La 0.670 0.330 0.000
Pm 0.166 0.834 0.500
Pm 0.834 0.166 0.500
Sm 0.094 0.419 0.256
Sm 0.255 0.255 0.746
Sm 0.419 0.094 0.256
Sm 0.581 0.906 0.744
Sm 0.745 0.745 0.254
Sm 0.906 0.581 0.744
Tl 0.500 0.500 0.500
```

## Properties
E_form (eV per atom): -0.02
Crystal system: monoclinic
Spin magnetization (μB per formula unit): 0.00
E (eV/atom): -4.604

[11]
A relaxed Cs8Au6Cl crystal. Source: the Alexandria database, functional PBE-GGA. Values from VASP.

Geometry as Quantum ESPRESSO input:
```
&SYSTEM
  ibrav = 0, nat = 15, ntyp = 3
/
ATOMIC_SPECIES
Cs 132.91 Cs.upf
Au 196.97 Au.upf
Cl 35.45 Cl.upf
CELL_PARAMETERS angstrom
5.594 3.230 6.835
-5.594 3.230 6.835
0.000 -6.460 6.835
ATOMIC_POSITIONS crystal
Cs 0.160 0.382 0.676
Cs 0.163 0.163 0.163
Cs 0.324 0.840 0.618
Cs 0.382 0.676 0.160
Cs 0.618 0.324 0.840
Cs 0.676 0.160 0.382
Cs 0.837 0.837 0.837
Cs 0.840 0.618 0.324
Au 0.023 0.848 0.445
Au 0.152 0.555 0.977
Au 0.445 0.023 0.848
Au 0.555 0.977 0.152
Au 0.848 0.445 0.023
Au 0.977 0.152 0.555
Cl 0.500 0.500 0.500
```

## Properties
Crystal system: trigonal
Energy relative to the elements, uncorrected (meV/atom): -514.5
Spin magnetization (μB per formula unit): 0.00
E (eV/atom): -2.404

[12]
A relaxed InSi2Pt crystal. Source: the Alexandria database, functional PBE-GGA. Values from VASP.

Geometry as Quantum ESPRESSO input:
```
&SYSTEM
  ibrav = 0, nat = 4, ntyp = 3
/
ATOMIC_SPECIES
In 114.82 In.upf
Si 28.09 Si.upf
Pt 195.08 Pt.upf
CELL_PARAMETERS angstrom
-1.401 2.413 5.332
1.401 -2.413 5.332
1.401 2.413 -5.332
ATOMIC_POSITIONS crystal
In 0.000 0.000 0.000
Si 0.288 0.788 0.500
Si 0.712 0.212 0.500
Pt 0.500 0.500 0.000
```

## Properties
Crystal system: orthorhombic
Energy relative to the elements, uncorrected (meV/atom): 68.3
Spin magnetization (μB per formula unit): 0.00
E (eV/atom): -4.838